[1]
{"formula": "KCrMoO6", "functional": "PBE with a Hubbard U", "state": "relaxed", "spacegroup": "P1 (1)", "cell": [[5.123, 0.126, -0.068], [2.671, 4.591, -0.118], [-0.070, -0.112, 5.988]], "species": ["K", "Cr", "Mo", "O", "O", "O", "O", "O", "O"], "fractional_positions": [[0.001, 0.002, 0.010], [0.343, 0.335, 0.456], [0.668, 0.654, 0.544], [0.988, 0.424, 0.307], [0.379, 0.001, 0.678], [0.619, 0.377, 0.678], [0.021, 0.593, 0.686], [0.385, 0.603, 0.318], [0.595, 0.011, 0.323]]}



[2]
{"formula": "KCr2MoO", "functional": "PBE with a Hubbard U", "state": "relaxed", "spacegroup": "P4/mmm (123)", "cell": [[5.523, 0.000, 0.000], [0.000, 4.370, 0.000], [0.000, 0.000, 5.523]], "species": ["Cr", "Cr", "Mo", "K", "O"], "fractional_positions": [[0.000, 0.000, 0.500], [0.500, 0.000, 0.000], [0.500, 0.500, 0.500], [0.000, 0.000, 0.000], [0.000, 0.500, 0.000]]}



Computed E_tot (eV/atom) in order:
-6.570, -4.263